Entry from Alexandria via LeMat-Bulk: a geometry-optimized DySc3Se4 structure (PBE).

Cell and atoms, written as POSCAR:
```
DySc3Se4
1.0
3.949 -5.557 0.000
3.949 5.557 0.000
0.000 0.000 3.909
Dy Sc Se
1 3 4
Direct
0.000 0.000 0.000 Dy
0.000 0.500 0.500 Sc
0.500 0.000 0.500 Sc
0.500 0.500 0.000 Sc
0.255 0.745 0.000 Se
0.260 0.260 0.500 Se
0.740 0.740 0.500 Se
0.745 0.255 0.000 Se
```

- E_form (uncorrected) (kcal/mol of atoms) = -37.40



Entry from Alexandria via LeMat-Bulk: a geometry-optimized TcTeSe2N structure (PBE).

Cell and atoms, written as POSCAR:
```
TcTeSe2N
1.0
5.404 0.000 0.000
0.000 5.404 0.000
0.000 0.000 3.932
Tc Te Se N
1 1 2 1
Direct
0.000 0.000 0.000 Tc
0.500 0.500 0.500 Te
0.000 0.500 0.500 Se
0.500 0.000 0.500 Se
0.500 0.500 0.000 N
```

- E_form (uncorrected) (kcal/mol of atoms) = 32.46



Entry from Alexandria via LeMat-Bulk: a geometry-optimized Ba12InHg6 structure (PBE).

Cell and atoms, written as POSCAR:
```
Ba12InHg6
1.0
-5.983 5.983 5.983
5.983 -5.983 5.983
5.983 5.983 -5.983
Ba In Hg
12 1 6
Direct
0.117 0.824 0.293 Ba
0.176 0.293 0.469 Ba
0.176 0.707 0.883 Ba
0.293 0.117 0.824 Ba
0.293 0.469 0.176 Ba
0.469 0.176 0.293 Ba
0.531 0.824 0.707 Ba
0.707 0.531 0.824 Ba
0.707 0.883 0.176 Ba
0.824 0.293 0.117 Ba
0.824 0.707 0.531 Ba
0.883 0.176 0.707 Ba
0.000 0.000 0.000 In
0.132 0.632 0.500 Hg
0.368 0.500 0.868 Hg
0.500 0.132 0.632 Hg
0.500 0.868 0.368 Hg
0.632 0.500 0.132 Hg
0.868 0.368 0.500 Hg
```

- E_form (kJ/mol of formula units) = -606



Entry from Alexandria via LeMat-Bulk: a geometry-optimized RbV2GaTc structure (PBE).

Cell and atoms, written as POSCAR:
```
RbV2GaTc
1.0
5.020 0.000 0.000
0.000 5.020 0.000
0.000 0.000 4.917
Rb V Ga Tc
1 2 1 1
Direct
0.000 0.000 0.000 Rb
0.000 0.500 0.500 V
0.500 0.000 0.500 V
0.500 0.500 0.500 Ga
0.500 0.500 0.000 Tc
```

- E_form (kJ/mol of formula units) = 719



Entry from Alexandria via LeMat-Bulk: a geometry-optimized Tm3HgS structure (PBE).

Cell and atoms, written as POSCAR:
```
Tm3HgS
1.0
5.064 0.000 0.000
0.000 5.064 0.000
0.000 0.000 5.064
Tm Hg S
3 1 1
Direct
0.000 0.000 0.500 Tm
0.000 0.500 0.000 Tm
0.500 0.000 0.000 Tm
0.500 0.500 0.500 Hg
0.000 0.000 0.000 S
```

- E_form (uncorrected) (kcal/mol of atoms) = -17.51



Entry from Alexandria via LeMat-Bulk: a geometry-optimized MnBeSe2 structure (PBE).

Cell and atoms, written as POSCAR:
```
MnBeSe2
1.0
3.843 0.000 0.000
0.000 7.958 0.000
-3.844 0.000 5.534
Mn Be Se
2 2 4
Direct
0.000 0.141 0.000 Mn
0.000 0.859 0.500 Mn
0.996 0.389 0.497 Be
0.996 0.611 0.997 Be
0.202 0.146 0.703 Se
0.202 0.854 0.203 Se
0.269 0.399 0.270 Se
0.269 0.601 0.770 Se
```

- E_form (uncorrected) (kcal/mol of atoms) = -12.69



Entry from Alexandria via LeMat-Bulk: a geometry-optimized ThCdPdRu structure (PBE).

Cell and atoms, written as POSCAR:
```
ThCdPdRu
1.0
3.806 0.000 0.000
0.000 4.240 0.000
0.000 0.000 4.905
Th Cd Pd Ru
1 1 1 1
Direct
0.000 0.000 0.000 Th
0.000 0.500 0.500 Cd
0.500 0.000 0.500 Pd
0.500 0.500 0.000 Ru
```

- E_form (kJ/mol of formula units) = -182



Entry from Alexandria via LeMat-Bulk: a geometry-optimized Ge3BiSe6 structure (PBE).

Cell and atoms, written as POSCAR:
```
Ge3BiSe6
1.0
11.127 0.000 0.000
0.000 3.861 0.000
-3.591 0.000 11.453
Ge Bi Se
6 2 12
Direct
0.037 0.250 0.152 Ge
0.148 0.750 0.428 Ge
0.357 0.250 0.919 Ge
0.643 0.750 0.081 Ge
0.852 0.250 0.572 Ge
0.963 0.750 0.848 Ge
0.467 0.250 0.328 Bi
0.533 0.750 0.672 Bi
0.014 0.750 0.645 Se
0.125 0.250 0.948 Se
0.220 0.750 0.248 Se
0.307 0.750 0.770 Se
0.366 0.250 0.533 Se
0.416 0.750 0.087 Se
0.584 0.250 0.913 Se
0.634 0.750 0.467 Se
0.693 0.250 0.230 Se
0.780 0.250 0.752 Se
0.875 0.750 0.052 Se
0.986 0.250 0.355 Se
```

- E_form (uncorrected) (kcal/mol of atoms) = -4.03



Entry from Alexandria via LeMat-Bulk: a geometry-optimized ZrBe2Ag structure (PBE).

Cell and atoms, written as POSCAR:
```
ZrBe2Ag
1.0
-2.064 2.064 7.914
2.064 -2.064 7.914
2.064 2.064 -7.914
Zr Be Ag
2 4 2
Direct
0.375 0.625 0.750 Zr
0.625 0.375 0.250 Zr
0.000 0.000 0.000 Be
0.000 0.000 0.500 Be
0.000 0.500 0.000 Be
0.500 0.000 0.500 Be
0.125 0.875 0.250 Ag
0.875 0.125 0.750 Ag
```

- E_form (kJ/mol of formula units) = 171



Entry from Alexandria via LeMat-Bulk: a geometry-optimized GaPbW2 structure (PBE).

Cell and atoms, written as POSCAR:
```
GaPbW2
1.0
-2.014 2.014 9.846
2.014 -2.014 9.846
2.014 2.014 -9.846
Ga Pb W
2 2 4
Direct
0.000 0.000 0.000 Ga
0.750 0.250 0.500 Ga
0.250 0.750 0.500 Pb
0.500 0.500 0.000 Pb
0.071 0.625 0.946 W
0.375 0.321 0.446 W
0.679 0.125 0.054 W
0.875 0.929 0.554 W
```

- E_form (kJ/mol of formula units) = 344



Entry from Alexandria via LeMat-Bulk: a geometry-optimized LiY2Ga4Au3 structure (PBE).

Cell and atoms, written as POSCAR:
```
LiY2Ga4Au3
1.0
4.155 0.000 0.000
0.000 4.155 0.000
0.000 0.000 11.401
Li Y Ga Au
1 2 4 3
Direct
0.000 0.000 0.000 Li
0.000 0.500 0.751 Y
0.500 0.000 0.249 Y
0.000 0.000 0.500 Ga
0.000 0.500 0.136 Ga
0.500 0.000 0.864 Ga
0.500 0.500 0.500 Ga
0.000 0.500 0.358 Au
0.500 0.000 0.642 Au
0.500 0.500 0.000 Au
```

- E_form (kJ/mol of formula units) = -572



Entry from Alexandria via LeMat-Bulk: a geometry-optimized NaNdYHg structure (PBE).

Cell and atoms, written as POSCAR:
```
NaNdYHg
1.0
0.000 3.842 3.842
3.842 0.000 3.842
3.842 3.842 0.000
Na Nd Y Hg
1 1 1 1
Direct
0.000 0.000 0.000 Na
0.750 0.750 0.750 Nd
0.250 0.250 0.250 Y
0.500 0.500 0.500 Hg
```

- E_form (kJ/mol of formula units) = -29



Record order is preserved below.
Energy: -6.314, -4.353, -1.784, -5.029, -4.328, -5.516, -6.173, -4.039, -4.271, -7.269, -4.271, -3.289 eV per atom
Record order is preserved below.
N(E_F): 0.66, 0.73, 1.14, 1.54, 0.73, 0.02, 0.20, 0.41, 0.64, 0.53, 0.56, 1.22 states/eV per atom